(1)
A plane-wave DFT calculation with PBEsol was carried out for a relaxed structure of Rb2InCuF6.

Cell: 6.038 6.038 6.038 Å, 60.00 60.00 60.00°
Site moments in Bohr magnetons follow the coordinates.
Fractional coordinates of all 10 atoms:
1 F 0.752 0.248 0.248  0.00
2 F 0.248 0.752 0.248  0.00
3 Cu 0.500 0.500 0.500  0.11
4 Rb 0.250 0.250 0.250  0.00
5 F 0.752 0.248 0.752  0.00
6 F 0.752 0.752 0.248  0.00
7 Rb 0.750 0.750 0.750  0.00
8 F 0.248 0.248 0.752  0.00
9 F 0.248 0.752 0.752  0.00
10 In 0.000 0.000 0.000  -0.01

Computed properties:
- Total energy: -4.43 eV/atom
- D(E_F): 3.686 states/eV per cell
- E_form (uncorrected): -2.33 eV/atom
- Spin magnetization: 0.10 μB per formula unit
- SG: Fm-3m (225)


(2)
A plane-wave DFT calculation with PBEsol was carried out for a relaxed structure of InCuSbF2.

Cell: 4.078 4.078 5.241 Å, 90.00 90.00 90.00°
Fractional coordinates of all 5 atoms:
1 F 0.500 0.000 0.000
2 F 0.000 0.500 0.000
3 Sb 0.000 0.000 0.500
4 In 0.500 0.500 0.500
5 Cu 0.000 0.000 0.000

Computed properties:
- Total energy: -3.99 eV/atom
- D(E_F): 2.229 states/eV per cell
- E_form (uncorrected): -0.85 eV/atom
- Spin magnetization: 0.00 μB per formula unit
- SG: P4/mmm (123)


(3)
A plane-wave DFT calculation with PBEsol was carried out for a relaxed structure of Cu2IrPtF.

Cell: 4.628 4.645 4.645 Å, 90.00 90.00 90.00°
Fractional coordinates of all 5 atoms:
1 Ir 0.000 0.000 0.000
2 Cu 0.000 0.000 0.500
3 Pt 0.500 0.000 0.000
4 F 0.500 0.500 0.500
5 Cu 0.000 0.500 0.000

Computed properties:
- Total energy: -4.30 eV/atom
- D(E_F): 5.948 states/eV per cell
- E_form (uncorrected): 1.18 eV/atom
- Spin magnetization: 0.00 μB per formula unit
- SG: P4/mmm (123)


(4)
A plane-wave DFT calculation with PBEsol was carried out for a relaxed structure of K2CuF.

Cell: 5.096 5.096 5.096 Å, 60.00 60.00 60.00°
Site moments in Bohr magnetons follow the coordinates.
Fractional coordinates of all 4 atoms:
1 K 0.750 0.750 0.750  0.00
2 F 0.000 0.000 0.000  0.01
3 K 0.250 0.250 0.250  0.00
4 Cu 0.500 0.500 0.500  0.14

Computed properties:
- Total energy: -2.89 eV/atom
- D(E_F): 0.000 states/eV per cell
- E_form (uncorrected): -0.76 eV/atom
- Spin magnetization: 0.24 μB per formula unit
- SG: Fm-3m (225)